Cs3LiI4 SCAN PBEsol geometry; electronic total energy = -34.455 eV/atom; formation energy without anion corrections = -12.850 eV per formula unit; spin magnetization = 0.00 μB per cell; DOS(E_F) = 0.00 states/eV/atom
1.0
5.1313 0.0000 0.0004
0.0000 8.9124 0.0000
-2.5565 0.0000 16.9000
Cs I Li
6 8 2
direct
0.6286 0.2500 0.2589
0.7261 0.7500 0.4548
0.5000 0.5000 0.0000
0.5000 0.0000 0.0000
0.2739 0.2500 0.5452
0.3714 0.7500 0.7411
0.4062 0.2500 0.8113
0.1799 0.9985 0.3621
0.1799 0.5015 0.3621
0.5938 0.7500 0.1887
0.9531 0.7500 0.9056
0.0469 0.2500 0.0944
0.8201 0.0015 0.6379
0.8201 0.4985 0.6379
0.8710 0.2500 0.7408
0.1290 0.7500 0.2592